The following is a DFT calculation (PBE) of a relaxed La2Cd crystal.

abc: 6.550 6.550 6.550
angles: 60.00 60.00 60.00
Atoms (fractional coordinates):
La1 0.000 0.000 0.000
La2 0.000 0.000 0.500
La3 0.000 0.500 0.000
La4 0.500 0.000 0.000
Cd1 0.375 0.375 0.375
Cd2 0.625 0.625 0.625

Properties
theoretical density	6.522	g/cm3
total magnetization	0.113	μB/cell
ΔH_f (0 K)	199	meV/atom
space-group type	Fd-3m